[1]
Below is an optimized crystal structure of MoIrIO2, with properties calculated at the PBE+U level.

- density (g cm⁻³) = 6.40
- V (A^3/atom) = 23.19
- polymorph energy (0 for the lowest one) (meV/atom) = 0.0

Structure (CIF):
```
data_MoIrIO2
_chemical_formula_sum 'Mo1 Ir1 I1 O2'
_cell_length_a 3.826
_cell_length_b 3.826
_cell_length_c 7.921
_cell_angle_alpha 90.00
_cell_angle_beta 90.00
_cell_angle_gamma 90.00
_space_group_name_H-M_alt 'P 4/m m m'
_space_group_IT_number 123
_space_group_name_Hall '-P 4 2'
loop_
_atom_site_label
_atom_site_type_symbol
_atom_site_fract_x
_atom_site_fract_y
_atom_site_fract_z
Mo1 Mo 0.000 0.000 0.000
Ir1 Ir 0.500 0.500 0.500
I1 I 0.000 0.000 0.500
O1 O 0.000 0.500 0.000
```

***

[2]
Below is an optimized crystal structure of MoIrIO2, with properties calculated at the PBE+U level.

- density (g cm⁻³) = 6.29
- V (A^3/atom) = 23.61
- polymorph energy (0 for the lowest one) (meV/atom) = 296.0

Structure (CIF):
```
data_MoIrIO2
_chemical_formula_sum 'Mo1 Ir1 I1 O2'
_cell_length_a 3.896
_cell_length_b 3.896
_cell_length_c 7.776
_cell_angle_alpha 90.00
_cell_angle_beta 90.00
_cell_angle_gamma 90.00
_space_group_name_H-M_alt 'P 4/m m m'
_space_group_IT_number 123
_space_group_name_Hall '-P 4 2'
loop_
_atom_site_label
_atom_site_type_symbol
_atom_site_fract_x
_atom_site_fract_y
_atom_site_fract_z
Mo1 Mo 0.000 0.000 0.000
Ir1 Ir 0.500 0.500 0.500
I1 I 0.500 0.500 0.000
O1 O 0.000 0.500 0.500
```